1.
Na4InSiAg2 | GGA-PBE | relaxed

Geometry as POSCAR:
```
Na4InSiAg2
1.0
4.8248 0.0000 0.0000
0.0000 4.8248 0.0000
0.0000 0.0000 7.0142
Na In Si Ag
4 1 1 2
Direct
0.0000 0.0000 0.0000 Na
0.0000 0.5000 0.2330 Na
0.5000 0.0000 0.7670 Na
0.5000 0.5000 0.5000 Na
0.0000 0.0000 0.5000 In
0.5000 0.5000 0.0000 Si
0.0000 0.5000 0.7702 Ag
0.5000 0.0000 0.2298 Ag
```

Calculated total energy: -2.365 eV/atom
Space-group type: P-4m2 (115)

---

2.
Nd3CdAgHg2Ir2 | GGA-PBE | relaxed

Geometry as POSCAR:
```
Nd3CdAgHg2Ir2
1.0
3.9215 0.0000 0.0000
0.0000 6.8388 3.9115
0.0000 -6.8388 3.9115
Nd Cd Ag Hg Ir
3 1 1 2 2
Direct
0.0000 0.0000 0.0000 Nd
0.0000 0.1763 0.5924 Nd
0.0000 0.5924 0.1763 Nd
0.5000 0.3264 0.3264 Cd
0.0000 0.5861 0.5861 Ag
0.5000 0.5888 0.8547 Hg
0.5000 0.8547 0.5888 Hg
0.5000 0.2595 0.9315 Ir
0.5000 0.9315 0.2595 Ir
```

Total magnetization: 0.00 μB per cell
Space-group type: Amm2 (38)
Calculated formation energy: -485 meV/atom